CaAlH3: optimized geometry, PBE.

Properties
**V**: 11.38 Å³/atom
**Spin magnetization**: 0.00 μB/atom
**Distance to the lowest polymorph of the same formula**: 0.000 eV/atom

```
data_CaAlH3
_chemical_formula_sum 'Ca1 Al1 H3'
_symmetry_space_group_name_H-M 'P m -3 m'
_symmetry_Int_Tables_number 221
_symmetry_space_group_name_Hall '-P 4 2 3'
_cell_length_a 3.8462
_cell_length_b 3.8462
_cell_length_c 3.8462
_cell_angle_alpha 90.00
_cell_angle_beta 90.00
_cell_angle_gamma 90.00
loop_
_atom_site_label
_atom_site_fract_x
_atom_site_fract_y
_atom_site_fract_z
Ca1 0.0000 0.0000 0.0000
Al1 0.5000 0.5000 0.5000
H1 0.0000 0.5000 0.5000
```